[1]
A plane-wave DFT calculation with GGA-PBE was carried out for a geometry-optimized AcLa4Tb2 structure.

Summary:
- DFT formation energy: 0.03 eV/atom
- Theoretical density: 7.1 Mg/m³
- Polymorph energy (0 for the lowest one): 0 meV/atom
- Space group: No. 1
- Calculated total energy: -4.69 eV/atom
- Fermi-level density of states: 1.906 states/eV per atom

Cell: 8.338 12.368 6.459 Å, 95.07 97.19 127.56°
Fractional positions:
1 Ac 0.334 0.728 0.639
2 Ac 0.915 0.022 0.790
3 Tb 0.625 0.875 0.215
4 Tb 0.487 0.306 0.933
5 Tb 0.125 0.375 0.714
6 Tb 0.763 0.444 0.496
7 La 0.045 0.584 0.068
8 La 0.204 0.166 0.361
9 La 0.841 0.235 0.151
10 La 0.274 0.949 0.004
11 La 0.554 0.095 0.573
12 La 0.409 0.515 0.277
13 La 0.976 0.801 0.423
14 La 0.697 0.655 0.854


[2]
A plane-wave DFT calculation with GGA-PBE was carried out for a geometry-optimized Ac4ErCu3O12 structure.

Summary:
- Theoretical density: 9.3 Mg/m³
- Space group: No. 229
- Calculated total energy: -6.92 eV/atom
- Fermi-level density of states: 0.332 states/eV per atom

Cell: 6.975 6.975 6.975 Å, 109.47 109.47 109.47°
Fractional positions:
1 Ac 0.500 0.500 0.500
2 Ac 0.000 0.000 0.500
3 Ac 0.500 0.000 0.000
4 Ac 0.000 0.500 0.000
5 Er 0.000 0.000 0.000
6 Cu 0.500 0.000 0.500
7 Cu 0.500 0.500 0.000
8 Cu 0.000 0.500 0.500
9 O 0.250 0.500 0.750
10 O 0.736 0.000 0.736
11 O 0.264 0.000 0.264
12 O 0.750 0.500 0.250
13 O 0.736 0.736 0.000
14 O 0.264 0.264 0.000
15 O 0.750 0.250 0.500
16 O 0.250 0.750 0.500
17 O 0.500 0.250 0.750
18 O 0.000 0.736 0.736
19 O 0.500 0.750 0.250
20 O 0.000 0.264 0.264


[3]
A plane-wave DFT calculation with GGA-PBE was carried out for a geometry-optimized CaSnHgPb structure.

Summary:
- DFT formation energy: -0.32 eV/atom
- Theoretical density: 8.1 Mg/m³
- Polymorph energy (0 for the lowest one): 22 meV/atom
- Space group: No. 216
- Calculated total energy: -2.82 eV/atom
- Fermi-level density of states: 0.090 states/eV per atom

Cell: 5.475 5.475 5.475 Å, 60.00 60.00 60.00°
Fractional positions:
1 Pb 0.000 0.000 0.000
2 Ca 0.500 0.500 0.500
3 Hg 0.750 0.750 0.750
4 Sn 0.250 0.250 0.250